Record 1
## BeRe2B (PBE)

Data for a relaxed structure of BeRe2B.

Crystal system   trigonal
DOS at the Fermi energy   3.2 states/eV/f.u.
Density   12.62 g/cm3
Final energy   -99.81 eV per cell
Relative energy among the computed polymorphs   0.272 eV/atom
Formation energy from the elements   196 kJ/mol of formula units

abc: 2.8237 2.8237 22.4190
angles: 90.00 90.00 120.00
Space group R-3m (No. 166, hexagonal axes)
Asymmetric unit:
Be  0.0000  0.0000  0.0000 x3
Re  0.0000  0.0000  0.1020 x6
B  0.0000  0.0000  0.5000 x3

=====

Record 2
## NdCd2I6 (PBE)

Data for a relaxed structure of NdCd2I6.

Crystal system   trigonal
DOS at the Fermi energy   2.9 states/eV/f.u.
Density   4.25 g/cm3
Final energy   -69.55 eV per cell
Energy relative to the elements, uncorrected   -0.8094 eV/atom

abc: 8.0659 8.0659 23.5344
angles: 90.00 90.00 120.00
Space group R3 (No. 146, hexagonal axes)
Asymmetric unit:
Nd  0.0000  0.0000  0.0000 x3
Cd  0.0000  0.0000  0.2724 x3
Cd  0.0000  0.0000  0.3935 x3
I  0.9995  0.3054  0.0840 x9
I  0.0282  0.6690  0.5831 x9

=====

Record 3
## Li4Mg10Cd (PBE)

Data for a relaxed structure of Li4Mg10Cd.

Crystal system   tetragonal
DOS at the Fermi energy   9.2 states/eV/f.u.
Density   1.69 g/cm3
Final energy   -43.24 eV per cell
Formation energy from the elements   280 kJ/mol of formula units

abc: 10.542 10.542 6.761
angles: 90.00 90.00 90.00
Space group I4/m (No. 87)
Asymmetric unit:
Li  0.098  0.698  0.000 x8
Mg  0.000  0.500  0.250 x4
Mg  0.103  0.202  0.248 x16
Cd  0.000  0.000  0.500 x2

=====

Record 4
## BiAsPtSe2 (PBE)

Data for a relaxed structure of BiAsPtSe2.

Crystal system   tetragonal
DOS at the Fermi energy   8.5 states/eV/f.u.
Density   6.71 g/cm3
Final energy   -14.86 eV per cell
Relative energy among the computed polymorphs   1.070 eV/atom
Energy relative to the elements, uncorrected   1.3356 eV/atom

abc: 5.376 5.376 5.457
angles: 90.00 90.00 90.00
Space group P4/mmm (No. 123)
Asymmetric unit:
Bi  0.000  0.000  0.000 x1
As  0.000  0.000  0.500 x1
Pt  0.500  0.500  0.500 x1
Se  0.000  0.500  0.000 x2

=====

Record 5
## NaPr5Cd4 (PBE)

Data for a relaxed structure of NaPr5Cd4.

Crystal system   tetragonal
DOS at the Fermi energy   11.7 states/eV/f.u.
Density   6.40 g/cm3
Final energy   -30.93 eV per cell
Formation energy from the elements   -198 kJ/mol of formula units

abc: 3.920 3.920 19.863
angles: 90.00 90.00 90.00
Space group P4/mmm (No. 123)
Asymmetric unit:
Na  0.000  0.000  0.000 x1
Pr  0.500  0.500  0.119 x2
Pr  0.500  0.500  0.307 x2
Pr  0.500  0.500  0.500 x1
Cd  0.000  0.000  0.210 x2
Cd  0.000  0.000  0.403 x2

=====

Record 6
## Nd4TmSc5 (PBE)

Data for a relaxed structure of Nd4TmSc5.

Crystal system   tetragonal
DOS at the Fermi energy   15.8 states/eV/f.u.
Density   5.56 g/cm3
Final energy   -54.63 eV per cell
Formation energy from the elements   55 kJ/mol of formula units

abc: 3.557 3.557 22.903
angles: 90.00 90.00 90.00
Space group P4/mmm (No. 123)
Asymmetric unit:
Nd  0.000  0.000  0.101 x2
Nd  0.000  0.000  0.303 x2
Tm  0.000  0.000  0.500 x1
Sc  0.500  0.500  0.000 x1
Sc  0.500  0.500  0.202 x2
Sc  0.500  0.500  0.404 x2

=====

Record 7
## Sc6HgAs2Se3 (PBE)

Data for a relaxed structure of Sc6HgAs2Se3.

Crystal system   monoclinic
DOS at the Fermi energy   5.4 states/eV/f.u.
Density   5.60 g/cm3
Final energy   -147.83 eV per cell
Energy relative to the elements, uncorrected   -1.3227 eV/atom

abc: 17.111 3.865 7.924
angles: 90.00 103.97 90.00
Space group C2/m (No. 12)
Asymmetric unit:
Sc  0.002  0.000  0.263 x4
Sc  0.171  0.500  0.093 x4
Sc  0.172  0.500  0.575 x4
Hg  0.000  0.500  0.000 x2
As  0.166  0.000  0.332 x4
Se  0.000  0.500  0.500 x2
Se  0.167  0.000  0.831 x4

=====

Record 8
## Ce2DyPdS5 (PBE)

Data for a relaxed structure of Ce2DyPdS5.

Crystal system   orthorhombic
DOS at the Fermi energy   9.5 states/eV/f.u.
Density   6.20 g/cm3
Final energy   -231.02 eV per cell
Energy relative to the elements, uncorrected   -1.7171 eV/atom

abc: 3.879 16.392 11.958
angles: 90.00 90.00 90.00
Space group Cmc2_1 (No. 36)
Asymmetric unit:
Ce  0.000  0.110  0.000 x4
Ce  0.000  0.121  0.346 x4
Dy  0.000  0.176  0.674 x4
Pd  0.000  0.447  0.069 x4
S  0.000  0.008  0.672 x4
S  0.000  0.305  0.007 x4
S  0.000  0.305  0.336 x4
S  0.000  0.342  0.671 x4
S  0.000  0.496  0.389 x4

=====

Record 9
## BaCaMn2Tl (PBE)

Data for a relaxed structure of BaCaMn2Tl.

Crystal system   tetragonal
DOS at the Fermi energy   4.0 states/eV/f.u.
Density   4.55 g/cm3
Final energy   -17.51 eV per cell
Formation energy from the elements   687 kJ/mol of formula units

abc: 5.437 5.437 6.066
angles: 90.00 90.00 90.00
Space group P4/mmm (No. 123)
Asymmetric unit:
Ba  0.000  0.000  0.000 x1
Ca  0.000  0.000  0.500 x1
Mn  0.000  0.500  0.000 x2
Tl  0.500  0.500  0.500 x1